Here is Y2GaTcW after structural relaxation from Alexandria. Energies are from PBEsol.

Properties
For the total moment, the calculation gives 0.70 μB/cell. The formation energy comes out at 1.31 eV per atom.

Cell lengths 4.6046, 5.1432, 5.1432 Å; angles 90.00, 90.00, 90.00 degrees
Element x y z (fractional)
W1 0.5000 0.0000 0.0000
Tc1 0.5000 0.5000 0.5000
Ga1 0.0000 0.0000 0.0000
Y1 0.0000 0.5000 0.0000
Y2 0.0000 0.0000 0.5000



Here is ScTa2Ag after structural relaxation from Alexandria. Energies are from PBEsol.

Properties
As for the energy above the lowest structure with this stoichiometry: 0.50 eV per formula unit. For the total moment, the calculation gives 0.00 μB/cell. The formation energy comes out at 0.25 eV per atom.

Cell lengths 4.1685, 4.1685, 5.0947 Å; angles 114.15, 114.15, 90.00 degrees
Element x y z (fractional)
Ta1 0.0000 0.0000 0.0000
Sc1 0.2500 0.7500 0.5000
Ag1 0.5000 0.5000 0.0000
Ta2 0.7500 0.2500 0.5000



Here is YBeCu2 after structural relaxation from Alexandria. Energies are from PBEsol.

Properties
For the total moment, the calculation gives 0.00 μB/cell. The formation energy comes out at -0.10 eV per atom.

Cell lengths 3.9360, 3.9360, 5.1804 Å; angles 67.67, 67.67, 60.00 degrees
Element x y z (fractional)
Cu1 0.9805 0.9805 0.0584
Cu2 0.7064 0.7064 0.8808
Y1 0.5075 0.5075 0.4775
Be1 0.3101 0.3101 0.0696



Here is BaLi2As after structural relaxation from Alexandria. Energies are from PBEsol.

Properties
For the total moment, the calculation gives 0.00 μB/cell. The formation energy comes out at -0.24 eV per atom.

Cell lengths 3.7650, 3.7650, 6.8649 Å; angles 90.00, 90.00, 90.11 degrees
Element x y z (fractional)
As1 0.5000 0.5000 0.5000
Li1 0.0000 0.0000 0.6663
Ba1 0.5000 0.5000 0.0000
Li2 0.0000 0.0000 0.3337